1.
Compound: CaZrPd
Source: the Alexandria database
Functional: GGA-PBE
Structure: optimized geometry

## Properties
Spin magnetization = 0.00 μB per formula unit
Density = 5.47 g/cm3
Symmetry = Immm
Energy = -5.6517 eV per atom

Unit cell a=3.8794 b=4.5689 c=16.2996 alpha=90.00 beta=90.00 gamma=90.00
Fractional coordinates of all 12 atoms:
Ca  0.0000  0.0000  0.1781
Ca  0.0000  0.0000  0.8219
Ca  0.5000  0.5000  0.3219
Ca  0.5000  0.5000  0.6781
Zr  0.0000  0.5000  0.0000
Zr  0.0000  0.5000  0.5000
Zr  0.5000  0.0000  0.0000
Zr  0.5000  0.0000  0.5000
Pd  0.0000  0.0000  0.3751
Pd  0.0000  0.0000  0.6249
Pd  0.5000  0.5000  0.1249
Pd  0.5000  0.5000  0.8751


2.
Compound: CaZrPd
Source: the Alexandria database
Functional: GGA-PBE
Structure: optimized geometry

## Properties
Spin magnetization = 0.00 μB per formula unit
Density = 5.49 g/cm3
Symmetry = F-43m
Energy = -4.4775 eV per atom

Unit cell a=6.6000 b=6.6000 c=6.6000 alpha=90.00 beta=90.00 gamma=90.00
Fractional coordinates of all 12 atoms:
Ca  0.0000  0.0000  0.0000
Ca  0.0000  0.5000  0.5000
Ca  0.5000  0.0000  0.5000
Ca  0.5000  0.5000  0.0000
Zr  0.2500  0.2500  0.7500
Zr  0.2500  0.7500  0.2500
Zr  0.7500  0.2500  0.2500
Zr  0.7500  0.7500  0.7500
Pd  0.2500  0.2500  0.2500
Pd  0.2500  0.7500  0.7500
Pd  0.7500  0.2500  0.7500
Pd  0.7500  0.7500  0.2500


3.
Compound: Ca2ZrPd4
Source: the Alexandria database
Functional: GGA-PBE
Structure: optimized geometry

## Properties
Spin magnetization = 0.00 μB per formula unit
Density = 6.61 g/cm3
Symmetry = I4/mmm
Energy = -5.1937 eV per atom

Unit cell a=5.2049 b=5.2049 c=11.0716 alpha=90.00 beta=90.00 gamma=90.00
Fractional coordinates of all 14 atoms:
Ca  0.0000  0.0000  0.1924
Ca  0.0000  0.0000  0.8076
Ca  0.5000  0.5000  0.3076
Ca  0.5000  0.5000  0.6924
Zr  0.0000  0.0000  0.5000
Zr  0.5000  0.5000  0.0000
Pd  0.0000  0.5000  0.1213
Pd  0.0000  0.5000  0.3787
Pd  0.0000  0.5000  0.6213
Pd  0.0000  0.5000  0.8787
Pd  0.5000  0.0000  0.1213
Pd  0.5000  0.0000  0.3787
Pd  0.5000  0.0000  0.6213
Pd  0.5000  0.0000  0.8787


4.
Compound: Ca2ZrPd
Source: the Alexandria database
Functional: GGA-PBE
Structure: optimized geometry

## Properties
Spin magnetization = 3.23 μB per formula unit
Density = 4.45 g/cm3
Symmetry = Fm-3m
Energy = -4.1751 eV per atom

Unit cell a=7.4557 b=7.4557 c=7.4557 alpha=90.00 beta=90.00 gamma=90.00
Fractional coordinates of all 16 atoms:
Ca  0.2500  0.2500  0.2500
Ca  0.2500  0.2500  0.7500
Ca  0.2500  0.7500  0.2500
Ca  0.2500  0.7500  0.7500
Ca  0.7500  0.2500  0.2500
Ca  0.7500  0.2500  0.7500
Ca  0.7500  0.7500  0.2500
Ca  0.7500  0.7500  0.7500
Zr  0.0000  0.0000  0.0000
Zr  0.0000  0.5000  0.5000
Zr  0.5000  0.0000  0.5000
Zr  0.5000  0.5000  0.0000
Pd  0.0000  0.0000  0.5000
Pd  0.0000  0.5000  0.0000
Pd  0.5000  0.0000  0.0000
Pd  0.5000  0.5000  0.5000


5.
Compound: CaZrPd
Source: the Alexandria database
Functional: GGA-PBE
Structure: optimized geometry

## Properties
Spin magnetization = 0.00 μB per formula unit
Density = 5.62 g/cm3
Symmetry = P4mm
Energy = -5.6639 eV per atom

Unit cell a=3.3881 b=3.3881 c=12.2287 alpha=90.00 beta=90.00 gamma=90.00
Fractional coordinates of all 6 atoms:
Ca  0.0000  0.0000  0.0000
Ca  0.0000  0.0000  0.2992
Zr  0.0000  0.0000  0.7038
Zr  0.5000  0.5000  0.5388
Pd  0.5000  0.5000  0.1515
Pd  0.5000  0.5000  0.8255


6.
Compound: CaZr3Pd
Source: the Alexandria database
Functional: GGA-PBE
Structure: optimized geometry

## Properties
Spin magnetization = 0.00 μB per formula unit
Density = 5.63 g/cm3
Symmetry = Pm-3m
Energy = -4.9538 eV per atom

Unit cell a=4.9865 b=4.9865 c=4.9865 alpha=90.00 beta=90.00 gamma=90.00
Fractional coordinates of all 5 atoms:
Ca  0.0000  0.0000  0.0000
Zr  0.0000  0.0000  0.5000
Zr  0.0000  0.5000  0.0000
Zr  0.5000  0.0000  0.0000
Pd  0.5000  0.5000  0.5000


7.
Compound: Ca3ZrPd4
Source: the Alexandria database
Functional: GGA-PBE
Structure: optimized geometry

## Properties
Spin magnetization = 0.00 μB per formula unit
Density = 6.17 g/cm3
Symmetry = P4/mmm
Energy = -5.0857 eV per atom

Unit cell a=3.4614 b=3.4614 c=14.3182 alpha=90.00 beta=90.00 gamma=90.00
Fractional coordinates of all 8 atoms:
Ca  0.0000  0.0000  0.0000
Ca  0.0000  0.0000  0.2508
Ca  0.0000  0.0000  0.7492
Zr  0.0000  0.0000  0.5000
Pd  0.5000  0.5000  0.1265
Pd  0.5000  0.5000  0.3982
Pd  0.5000  0.5000  0.6018
Pd  0.5000  0.5000  0.8735


8.
Compound: CaZr2Pd
Source: the Alexandria database
Functional: GGA-PBE
Structure: optimized geometry

## Properties
Spin magnetization = 0.00 μB per formula unit
Density = 5.48 g/cm3
Symmetry = I-42d
Energy = -6.0112 eV per atom

Unit cell a=8.1829 b=8.1829 c=5.9587 alpha=90.00 beta=90.00 gamma=90.00
Fractional coordinates of all 16 atoms:
Ca  0.0000  0.0000  0.0000
Ca  0.0000  0.5000  0.2500
Ca  0.5000  0.0000  0.7500
Ca  0.5000  0.5000  0.5000
Zr  0.1882  0.7500  0.6250
Zr  0.2500  0.1882  0.3750
Zr  0.2500  0.3118  0.8750
Zr  0.3118  0.7500  0.1250
Zr  0.6882  0.2500  0.1250
Zr  0.7500  0.6882  0.8750
Zr  0.7500  0.8118  0.3750
Zr  0.8118  0.2500  0.6250
Pd  0.0000  0.0000  0.5000
Pd  0.0000  0.5000  0.7500
Pd  0.5000  0.0000  0.2500
Pd  0.5000  0.5000  0.0000


> energy of number 8 (CaZr2Pd)?

-6.0112 eV per atom


> Which value of density does entry 8 give?

5.48 g/cm3


> What is the formula in the first record?

CaZrPd